First-principles (GGA-PBE) data for a relaxed LiAc2AlZn6 crystal, as listed in Alexandria via LeMat-Bulk.

**Theoretical density**: 6.56 g/cm3
**Density of states at the Fermi level**: 0.536 states/eV per atom
**DFT formation energy**: -60 meV per atom

abc: 6.7981 6.7981 6.7959
angles: 119.87 119.87 90.04
Fractional coordinates of all 10 atoms:
Li  0.0000  0.0000  0.0000
Ac  0.2502  0.7498  0.5000
Ac  0.7498  0.2502  0.5000
Al  0.5000  0.5000  0.0000
Zn  0.2383  0.2383  0.9998
Zn  0.2385  0.2385  0.4769
Zn  0.2385  0.7615  0.0000
Zn  0.7615  0.2385  0.0000
Zn  0.7617  0.7617  0.0002
Zn  0.7615  0.7615  0.5231